1.
The following is a DFT calculation (PBE) of an optimized crystal structure of PaSBr.

Geometry as extended XYZ:
```
6
Lattice="3.9110 0.0000 0.0000 0.0000 5.3661 0.0000 0.0000 0.0000 9.2296" Properties=species:S:1:pos:R:3 pbc="T T T"
Pa 0.9778 1.3415 1.0013
Pa 2.9333 4.0246 8.2284
S 0.9778 4.0246 0.9585
S 2.9333 1.3415 8.2711
Br 0.9778 4.0246 6.0798
Br 2.9333 1.3415 3.1498
```

Properties
Formation energy without anion corrections in eV/atom: -1.487


2.
The following is a DFT calculation (PBE) of an optimized crystal structure of NpMnGeRh.

Geometry as extended XYZ:
```
4
Lattice="0.0000 3.2857 3.2857 3.2857 0.0000 3.2857 3.2857 3.2857 0.0000" Properties=species:S:1:pos:R:3 pbc="T T T"
Np 0.0000 0.0000 0.0000
Mn 1.6428 1.6428 1.6428
Ge 4.9285 4.9285 4.9285
Rh 3.2857 3.2857 3.2857
```

Properties
Energy of formation in eV per atom: 0.170


3.
The following is a DFT calculation (PBE) of an optimized crystal structure of Na2SrHg2Pb2.

Geometry as extended XYZ:
```
7
Lattice="2.5408 1.4670 9.2246 -2.5408 1.4670 9.2246 0.0000 -2.9339 9.2246" Properties=species:S:1:pos:R:3 pbc="T T T"
Na 0.0000 0.0000 3.8980
Na 0.0000 0.0000 23.7758
Sr 0.0000 0.0000 0.0000
Hg 0.0000 0.0000 11.9171
Hg 0.0000 0.0000 15.7567
Pb 0.0000 0.0000 7.3021
Pb 0.0000 0.0000 20.3717
```

Properties
Energy of formation in eV per atom: -0.277


4.
The following is a DFT calculation (PBE) of an optimized crystal structure of ReSb2Rh.

Geometry as extended XYZ:
```
4
Lattice="3.0509 0.0000 0.0000 0.0000 3.0509 0.0000 0.0000 0.0000 9.1477" Properties=species:S:1:pos:R:3 pbc="T T T"
Re 0.0000 0.0000 0.0000
Sb 0.0000 0.0000 3.5334
Sb 1.5254 1.5254 7.2660
Rh 1.5254 1.5254 1.6467
```

Properties
Formation energy without anion corrections in eV/atom: 0.150


5.
The following is a DFT calculation (PBE) of an optimized crystal structure of PaSbS4.

Geometry as extended XYZ:
```
6
Lattice="7.4418 -2.0210 0.0000 7.4418 2.0210 0.0000 -3.1783 0.0000 6.1491" Properties=species:S:1:pos:R:3 pbc="T T T"
Pa 0.0000 0.0000 0.0000
Sb 5.8527 0.0000 3.0745
S -0.9229 0.0000 4.8321
S 3.5241 0.0000 4.5390
S 8.1813 0.0000 1.6101
S 12.6283 0.0000 1.3170
```

Properties
Formation energy without anion corrections in eV/atom: -1.001


6.
The following is a DFT calculation (PBE) of an optimized crystal structure of Nd4TmTl2.

Geometry as extended XYZ:
```
14
Lattice="6.8445 0.0000 0.0000 3.4160 8.2809 0.0000 3.4220 -0.7916 8.2466" Properties=species:S:1:pos:R:3 pbc="T T T"
Nd 0.0000 0.0000 0.0000
Nd 1.6234 3.2414 0.6127
Nd 5.2079 6.8632 4.8496
Nd 3.4186 1.8206 5.4588
Nd 6.8295 6.5682 1.5551
Nd 8.4675 6.8597 4.8434
Nd 5.2098 3.2372 0.6163
Nd 6.8461 3.5344 3.9061
Tm 6.8433 4.4154 7.0750
Tm 10.2585 4.8929 6.6341
Tl 1.7088 0.9111 2.7299
Tl 3.4176 5.0593 2.7222
Tl 6.8397 0.5256 6.8437
Tl 5.1325 0.9092 2.7308
```

Properties
Energy of formation in eV per atom: 0.014


7.
The following is a DFT calculation (PBE) of an optimized crystal structure of Zn2CoOs.

Geometry as extended XYZ:
```
4
Lattice="2.6756 0.0000 0.0000 0.0000 2.6756 0.0000 0.0000 0.0000 7.5142" Properties=species:S:1:pos:R:3 pbc="T T T"
Zn 0.0000 0.0000 0.0000
Zn 1.3378 1.3378 2.1111
Co 0.0000 0.0000 3.8945
Os 1.3378 1.3378 5.5106
```

Properties
Energy of formation in eV per atom: 0.070


8.
The following is a DFT calculation (PBE) of an optimized crystal structure of TlMoRh2.

Geometry as extended XYZ:
```
4
Lattice="1.4627 0.8445 9.0699 -1.4627 0.8445 9.0699 0.0000 -1.6890 9.0699" Properties=species:S:1:pos:R:3 pbc="T T T"
Tl 0.0000 0.0000 0.0000
Mo 0.0000 0.0000 13.6048
Rh 0.0000 0.0000 6.6331
Rh 0.0000 0.0000 20.5766
```

Properties
Energy of formation in eV per atom: 0.168


no.,total DFT energy (no corrections) (eV per atom),M_tot (μB per atom)
1,-6.585,0.3548
2,-8.350,2.0452
3,-2.040,0.0000
4,-6.861,0.0000
5,-6.023,0.0000
6,-4.025,0.0000
7,-5.151,0.0414
8,-6.807,0.0000